[1]
Below is crystalline Er3Zr3FeTe2 at its relaxed geometry, with properties calculated at the GGA-PBE level.

Cell lengths 8.038, 8.038, 3.780 Å; angles 90.00, 90.00, 120.00 degrees
Fractional positions:
Er1 0.000 0.604 0.000
Er2 0.396 0.396 0.000
Er3 0.604 0.000 0.000
Zr1 0.000 0.231 0.500
Zr2 0.231 0.000 0.500
Zr3 0.769 0.769 0.500
Fe1 0.000 0.000 0.000
Te1 0.333 0.667 0.500
Te2 0.667 0.333 0.500

Values from the calculation:
M_tot = 0.013 μB per atom
uncorrected energy = -6.60 eV/atom



[2]
Below is crystalline Cu2Ag3 at its relaxed geometry, with properties calculated at the GGA-PBE level.

Cell lengths 7.575, 7.575, 7.582 Å; angles 104.75, 104.75, 21.69 degrees
Fractional positions:
Cu1 0.002 0.002 0.231
Cu2 0.413 0.413 0.954
Cu3 0.587 0.587 0.046
Cu4 0.998 0.998 0.769
Ag1 0.187 0.187 0.862
Ag2 0.198 0.198 0.329
Ag3 0.406 0.406 0.459
Ag4 0.594 0.594 0.541
Ag5 0.802 0.802 0.671
Ag6 0.813 0.813 0.138

Values from the calculation:
uncorrected energy = -3.11 eV/atom



[3]
Below is crystalline ZnTcNiSb at its relaxed geometry, with properties calculated at the GGA-PBE level.

Cell lengths 4.396, 4.396, 4.396 Å; angles 60.00, 60.00, 60.00 degrees
Fractional positions:
Zn1 0.000 0.000 0.000
Tc1 0.250 0.250 0.250
Ni1 0.750 0.750 0.750
Sb1 0.500 0.500 0.500

Values from the calculation:
M_tot = 0.003 μB per atom
uncorrected energy = -5.26 eV/atom



[4]
Below is crystalline PrEr2Mg3InGa2 at its relaxed geometry, with properties calculated at the GGA-PBE level.

Cell lengths 4.581, 7.402, 7.402 Å; angles 120.81, 90.00, 90.00 degrees
Fractional positions:
Pr1 0.000 0.000 0.000
Er1 0.000 0.125 0.563
Er2 0.000 0.563 0.125
Mg1 0.500 0.312 0.312
Mg2 0.500 0.560 0.809
Mg3 0.500 0.809 0.560
In1 0.000 0.552 0.552
Ga1 0.500 0.234 0.891
Ga2 0.500 0.891 0.234

Values from the calculation:
M_tot = 0.000 μB per atom
uncorrected energy = -3.49 eV/atom



[5]
Below is crystalline NdBiNO at its relaxed geometry, with properties calculated at the GGA-PBE level.

Cell lengths 3.903, 6.878, 6.018 Å; angles 90.00, 90.00, 90.00 degrees
Fractional positions:
Nd1 0.000 0.149 0.000
Nd2 0.000 0.851 0.500
Bi1 0.500 0.350 0.475
Bi2 0.500 0.650 0.975
N1 0.000 0.184 0.401
N2 0.000 0.816 0.901
O1 0.500 0.183 0.810
O2 0.500 0.817 0.310

Values from the calculation:
M_tot = 0.000 μB per atom
uncorrected energy = -6.59 eV/atom



[6]
Below is crystalline NdCoSi2Tc at its relaxed geometry, with properties calculated at the GGA-PBE level.

Cell lengths 5.744, 5.744, 5.744 Å; angles 137.72, 137.72, 61.33 degrees
Fractional positions:
Nd1 0.000 0.000 0.000
Co1 0.250 0.750 0.500
Si1 0.366 0.366 0.000
Si2 0.634 0.634 0.000
Tc1 0.750 0.250 0.500

Values from the calculation:
M_tot = 0.000 μB per atom
uncorrected energy = -7.30 eV/atom



[7]
Below is crystalline Re2Os2Pb3 at its relaxed geometry, with properties calculated at the GGA-PBE level.

Cell lengths 8.127, 8.127, 8.127 Å; angles 32.68, 32.68, 32.68 degrees
Fractional positions:
Re1 0.000 0.000 0.000
Re2 0.498 0.498 0.498
Os1 0.252 0.252 0.252
Os2 0.753 0.753 0.753
Pb1 0.127 0.127 0.127
Pb2 0.370 0.370 0.370
Pb3 0.883 0.883 0.883

Values from the calculation:
M_tot = 0.420 μB per atom
uncorrected energy = -6.74 eV/atom



[8]
Below is crystalline CuCl2F2 at its relaxed geometry, with properties calculated at the GGA-PBE level.

Cell lengths 5.359, 5.359, 5.972 Å; angles 90.00, 90.00, 90.00 degrees
Fractional positions:
Cu1 0.000 0.000 0.000
Cu2 0.500 0.500 0.000
Cl1 0.132 0.368 0.500
Cl2 0.368 0.868 0.500
Cl3 0.632 0.132 0.500
Cl4 0.868 0.632 0.500
F1 0.228 0.728 0.000
F2 0.272 0.228 0.000
F3 0.728 0.772 0.000
F4 0.772 0.272 0.000

Values from the calculation:
uncorrected energy = -2.98 eV/atom



Repeat the second record exactly.
Below is crystalline Cu2Ag3 at its relaxed geometry, with properties calculated at the GGA-PBE level.

Cell lengths 7.575, 7.575, 7.582 Å; angles 104.75, 104.75, 21.69 degrees
Fractional positions:
Cu1 0.002 0.002 0.231
Cu2 0.413 0.413 0.954
Cu3 0.587 0.587 0.046
Cu4 0.998 0.998 0.769
Ag1 0.187 0.187 0.862
Ag2 0.198 0.198 0.329
Ag3 0.406 0.406 0.459
Ag4 0.594 0.594 0.541
Ag5 0.802 0.802 0.671
Ag6 0.813 0.813 0.138

Values from the calculation:
uncorrected energy = -3.11 eV/atom